## Li2ZnTe (PBE)

Data for an optimized crystal structure of Li2ZnTe.

The structure in CIF format:
```
data_Li2ZnTe
_chemical_formula_sum 'Li2 Zn1 Te1'
_cell_length_a 4.8811
_cell_length_b 4.8811
_cell_length_c 4.8811
_cell_angle_alpha 60.00
_cell_angle_beta 60.00
_cell_angle_gamma 60.00
_symmetry_space_group_name_H-M 'P 1'
_symmetry_Int_Tables_number 1
loop_
_symmetry_equiv_pos_as_xyz
'x,y,z'
loop_
_atom_site_label
_atom_site_type_symbol
_atom_site_fract_x
_atom_site_fract_y
_atom_site_fract_z
_atom_site_occupancy
Li1 Li 0.0000 0.0000 0.0000 1
Li2 Li 0.2500 0.2500 0.2500 1
Zn1 Zn 0.5000 0.5000 0.5000 1
Te1 Te 0.7500 0.7500 0.7500 1
```

---

## Li2ZrTe3 (PBE)

Data for an optimized crystal structure of Li2ZrTe3.

The energy relative to the lowest polymorph listed for this composition comes out at 0.045 eV per atom.

The structure in CIF format:
```
data_Li2ZrTe3
_chemical_formula_sum 'Li4 Zr2 Te6'
_cell_length_a 8.0986
_cell_length_b 4.0869
_cell_length_c 9.7977
_cell_angle_alpha 90.00
_cell_angle_beta 103.43
_cell_angle_gamma 90.00
_symmetry_space_group_name_H-M 'P 1'
_symmetry_Int_Tables_number 1
loop_
_symmetry_equiv_pos_as_xyz
'x,y,z'
loop_
_atom_site_label
_atom_site_type_symbol
_atom_site_fract_x
_atom_site_fract_y
_atom_site_fract_z
_atom_site_occupancy
Li1 Li 0.0823 0.2500 0.0884 1
Li2 Li 0.2296 0.2500 0.7999 1
Li3 Li 0.7704 0.7500 0.2001 1
Li4 Li 0.9177 0.7500 0.9116 1
Zr1 Zr 0.3230 0.7500 0.3263 1
Zr2 Zr 0.6770 0.2500 0.6737 1
Te1 Te 0.0822 0.2500 0.3599 1
Te2 Te 0.2697 0.7500 0.0260 1
Te3 Te 0.4088 0.7500 0.6464 1
Te4 Te 0.5912 0.2500 0.3536 1
Te5 Te 0.7303 0.2500 0.9740 1
Te6 Te 0.9178 0.7500 0.6401 1
```

---

## LiZr3Te5 (PBE)

Data for an optimized crystal structure of LiZr3Te5.

The structure in CIF format:
```
data_LiZr3Te5
_chemical_formula_sum 'Li1 Zr3 Te5'
_cell_length_a 6.3447
_cell_length_b 6.3447
_cell_length_c 8.4170
_cell_angle_alpha 90.00
_cell_angle_beta 90.00
_cell_angle_gamma 120.00
_symmetry_space_group_name_H-M 'P 1'
_symmetry_Int_Tables_number 1
loop_
_symmetry_equiv_pos_as_xyz
'x,y,z'
loop_
_atom_site_label
_atom_site_type_symbol
_atom_site_fract_x
_atom_site_fract_y
_atom_site_fract_z
_atom_site_occupancy
Li1 Li 0.0000 0.0000 0.0000 1
Zr1 Zr 0.0000 0.5000 0.5000 1
Zr2 Zr 0.5000 0.0000 0.5000 1
Zr3 Zr 0.5000 0.5000 0.5000 1
Te1 Te 0.0000 0.0000 0.5000 1
Te2 Te 0.3333 0.6667 0.2296 1
Te3 Te 0.3333 0.6667 0.7704 1
Te4 Te 0.6667 0.3333 0.2296 1
Te5 Te 0.6667 0.3333 0.7704 1
```

---

| no. | VASP energy (eV/atom) |
| --- | --- |
| 1 | -2.318 |
| 2 | -4.505 |
| 3 | -5.515 |